Record 1
Ag3MoN: relaxed, PBE.

a = 4.4165 Å, b = 4.4165 Å, c = 4.4165 Å
α = 90.00°, β = 90.00°, γ = 90.00°
Space group Pm-3m (No. 221)
Unique sites:
Ag (0.0000, 0.0000, 0.5000) (multiplicity 3)
Mo (0.5000, 0.5000, 0.5000) (multiplicity 1)
N (0.0000, 0.0000, 0.0000) (multiplicity 1)

Output
- Density: 8357 kg/m3
- Raw formation energy: 1.22 eV/atom
- DFT total energy: -4.32 eV/atom

Record 2
LaEuCdCu: relaxed, PBE.

a = 7.6147 Å, b = 7.6147 Å, c = 7.6147 Å
α = 90.00°, β = 90.00°, γ = 90.00°
Space group F-43m (No. 216)
Unique sites:
La (0.0000, 0.0000, 0.0000) (multiplicity 4)
Eu (0.0000, 0.0000, 0.5000) (multiplicity 4)
Cd (0.2500, 0.2500, 0.2500) (multiplicity 4)
Cu (0.2500, 0.2500, 0.7500) (multiplicity 4)

Output
- Density: 7023 kg/m3
- Energy of formation from the pure elements: -179 meV/atom
- DFT total energy: -5.23 eV/atom

Record 3
AsS2ClF: relaxed, PBE.

a = 4.1648 Å, b = 4.1648 Å, c = 5.3599 Å
α = 90.00°, β = 90.00°, γ = 90.00°
Space group P4/mmm (No. 123)
Unique sites:
As (0.0000, 0.0000, 0.0000) (multiplicity 1)
S (0.0000, 0.5000, 0.5000) (multiplicity 2)
Cl (0.5000, 0.5000, 0.0000) (multiplicity 1)
F (0.5000, 0.5000, 0.5000) (multiplicity 1)

Output
- Density: 3456 kg/m3
- Raw formation energy: 0.67 eV/atom
- DFT total energy: -2.65 eV/atom